BaMg2Sb | GGA-PBE | optimized geometry

Output
Volume in Å³/cell: 126.11
E in eV per atom: -2.613
Magnetization in μB/cell: 0.0
Uncorrected formation energy in eV per atom: -0.305

Cell: 3.8922 4.1653 7.7789 Å, 90.00 90.00 90.00°
Sites, in units of the cell vectors:
Ba: 0.5000 0.5000 0.7311
Mg: 0.0000 0.0000 0.0628
Mg: 0.5000 0.5000 0.2653
Sb: 0.0000 0.0000 0.4408